1.
! La2TmP3Pt12, relaxed, DFT PBE; values from VASP
! calculated formation energy	-533	meV/atom
! V	20.33	Å³ per atom
! crystal system	trigonal
&SYSTEM
  ibrav = 0, nat = 18, ntyp = 4
/
ATOMIC_SPECIES
P 30.97 P.upf
La 138.91 La.upf
Pt 195.08 Pt.upf
Tm 168.93 Tm.upf
CELL_PARAMETERS angstrom
-4.184 -1.601 6.356
-3.784 -6.792 -0.117
2.925 -5.532 4.617
ATOMIC_POSITIONS angstrom
P 1.463 -2.766 2.308
P -1.892 -3.396 -0.059
P -2.092 -0.801 3.178
La -1.998 -5.517 4.301
La -3.045 -8.408 6.555
Pt -0.068 -7.816 6.264
Pt 0.666 -4.495 3.645
Pt -4.053 -5.613 7.239
Pt -4.975 -6.109 4.592
Pt -1.214 -5.403 7.246
Pt -2.457 -5.081 1.442
Pt -2.401 -11.260 6.401
Pt -0.990 -8.313 3.617
Pt -3.829 -8.523 3.610
Pt -2.587 -8.844 9.413
Pt -5.709 -9.431 7.210
Pt -2.643 -2.665 4.455
Tm 0.000 0.000 0.000

***

2.
! ZrPd4, relaxed, DFT PBE; values from VASP
! calculated formation energy	-613	meV/atom
! V	16.49	Å³ per atom
! crystal system	orthorhombic
&SYSTEM
  ibrav = 0, nat = 10, ntyp = 2
/
ATOMIC_SPECIES
Zr 91.22 Zr.upf
Pd 106.42 Pd.upf
CELL_PARAMETERS angstrom
-0.856 0.442 -4.086
5.517 0.314 -1.122
-2.098 -7.296 1.807
ATOMIC_POSITIONS angstrom
Zr 4.188 -1.260 -1.014
Zr -1.626 -5.280 -2.387
Pd -0.428 0.221 -2.043
Pd 1.426 -1.309 -0.440
Pd -0.314 -2.452 -2.356
Pd 2.876 -4.088 -1.045
Pd 0.167 -4.242 -0.494
Pd 1.136 -5.230 -2.961
Pd 2.396 -2.298 -2.907
Pd 2.330 0.378 -2.604

***

3.
! RbTe2Mo2, relaxed, DFT PBE; values from VASP
! ΔE_f (raw)	0.3792	eV per atom
! relative energy among the computed polymorphs	498	meV per atom
! V	28.43	Å³ per atom
! crystal system	tetragonal
&SYSTEM
  ibrav = 0, nat = 10, ntyp = 3
/
ATOMIC_SPECIES
Rb 85.47 Rb.upf
Mo 95.94 Mo.upf
Te 127.60 Te.upf
CELL_PARAMETERS angstrom
9.150 0.000 0.000
0.000 9.150 0.000
0.000 0.000 3.396
ATOMIC_POSITIONS angstrom
Rb 4.575 4.575 0.000
Rb 0.000 0.000 0.000
Mo 5.356 8.368 1.698
Mo 0.781 5.356 1.698
Mo 8.368 3.794 1.698
Mo 3.794 0.781 1.698
Te 1.457 3.118 0.000
Te 6.032 1.457 0.000
Te 7.693 6.032 0.000
Te 3.118 7.693 0.000

***

4.
! NaHRu2, relaxed, DFT PBE; values from VASP
! relative energy among the computed polymorphs	0	meV per atom
! V	15.40	Å³ per atom
! crystal system	cubic
&SYSTEM
  ibrav = 0, nat = 8, ntyp = 3
/
ATOMIC_SPECIES
Ru 101.07 Ru.upf
Na 22.99 Na.upf
H 1.01 H.upf
CELL_PARAMETERS angstrom
-4.692 2.712 -1.343
-2.491 -4.868 -1.127
-4.808 -1.325 2.517
ATOMIC_POSITIONS angstrom
Ru -6.923 -3.019 0.679
Ru -9.269 -1.663 0.008
Ru -3.273 0.077 -0.015
Ru -4.519 -2.357 -0.579
Na -6.546 0.155 -0.031
Na 0.000 0.000 0.000
H -3.592 -1.078 -1.235
H -5.445 -3.636 0.077

***

5.
! Er4CdGa3, relaxed, DFT PBE; values from VASP
! calculated formation energy	-507	meV/atom
! V	23.01	Å³ per atom
! crystal system	tetragonal
&SYSTEM
  ibrav = 0, nat = 16, ntyp = 3
/
ATOMIC_SPECIES
Ga 69.72 Ga.upf
Er 167.26 Er.upf
Cd 112.41 Cd.upf
CELL_PARAMETERS angstrom
-2.654 3.166 2.942
-6.006 -3.537 -1.613
1.482 -6.137 7.940
ATOMIC_POSITIONS angstrom
Ga -3.217 -4.791 6.618
Ga 0.000 0.000 0.000
Ga -0.958 0.050 3.458
Ga 0.741 -3.069 3.970
Ga -0.214 -3.022 7.424
Ga -3.962 -1.718 2.652
Er -3.001 -2.298 8.504
Er -2.046 -2.345 5.049
Er -2.787 0.723 1.079
Er -5.132 -4.163 4.220
Er -6.088 -4.116 7.675
Er -4.177 -4.210 0.766
Er -5.874 -1.094 0.251
Er -1.091 -2.393 1.594
Cd -3.003 -1.769 -0.806
Cd -2.262 -4.837 3.164

***

6.
! BaHg2Sb2, relaxed, DFT PBE; values from VASP
! ΔE_f (raw)	-0.3809	eV per atom
! V	31.53	Å³ per atom
! crystal system	tetragonal
&SYSTEM
  ibrav = 0, nat = 5, ntyp = 3
/
ATOMIC_SPECIES
Sb 121.76 Sb.upf
Ba 137.33 Ba.upf
Hg 200.59 Hg.upf
CELL_PARAMETERS angstrom
-2.139 -3.345 3.389
-0.238 -3.635 -3.738
4.083 -5.359 1.307
ATOMIC_POSITIONS angstrom
Sb 1.328 -6.242 -1.303
Sb 0.378 -6.097 2.261
Ba 0.000 0.000 0.000
Hg 0.066 -3.935 0.178
Hg 1.640 -8.404 0.780

***

Number 1: DFT total energy -112.641 eV for the cell shown. Number 2: DFT total energy -64.770 eV for the cell shown. Number 3: DFT total energy -54.034 eV for the cell shown. Number 4: DFT total energy -40.955 eV for the cell shown. Number 5: DFT total energy -64.610 eV for the cell shown. Number 6: DFT total energy -12.676 eV for the cell shown.